P2OsSe | PBEsol | optimized geometry

Output
uncorrected formation energy	0.3402	eV per atom
DFT total energy	-6.57	eV/atom
DOS(E_F)	3.511	states/eV/cell

Structure (POSCAR):
```
P2OsSe
1.0
3.036 0.000 0.000
0.000 3.036 0.000
0.000 0.000 6.810
P Se Os
2 1 1
Cartesian
0.000 0.000 6.798
1.518 1.518 1.086
0.000 0.000 3.743
1.518 1.518 5.398
```